--- P ---
# RbPF2 (GGA-PBE, optimized geometry)
# - total moment (μB/atom) = 0.00
data_RbPF2
_chemical_formula_sum 'Rb3 P3 F6'
_symmetry_space_group_name_H-M 'R -3 m'
_symmetry_Int_Tables_number 166
_symmetry_space_group_name_Hall '-R 3 2"'
_cell_length_a 3.6271
_cell_length_b 3.6271
_cell_length_c 21.8013
_cell_angle_alpha 90.00
_cell_angle_beta 90.00
_cell_angle_gamma 120.00
loop_
_atom_site_label
_atom_site_type_symbol
_atom_site_fract_x
_atom_site_fract_y
_atom_site_fract_z
Rb1 Rb 0.0000 0.0000 0.0000
P1 P 0.0000 0.0000 0.5000
F1 F 0.0000 0.0000 0.4122

--- Q ---
# RbPF2 (GGA-PBE, optimized geometry)
# - total moment (μB/atom) = 0.50
data_RbPF2
_chemical_formula_sum 'Rb4 P4 F8'
_symmetry_space_group_name_H-M 'I -4 2 d'
_symmetry_Int_Tables_number 122
_symmetry_space_group_name_Hall 'I -4 2bw'
_cell_length_a 5.015
_cell_length_b 5.015
_cell_length_c 14.248
_cell_angle_alpha 90.00
_cell_angle_beta 90.00
_cell_angle_gamma 90.00
loop_
_atom_site_label
_atom_site_type_symbol
_atom_site_fract_x
_atom_site_fract_y
_atom_site_fract_z
Rb1 Rb 0.000 0.000 0.000
P1 P 0.000 0.000 0.500
F1 F 0.131 0.250 0.625

--- R ---
# RbPF2 (GGA-PBE, optimized geometry)
# - total moment (μB/atom) = 0.00
data_RbPF2
_chemical_formula_sum 'Rb3 P3 F6'
_symmetry_space_group_name_H-M 'R -3 m'
_symmetry_Int_Tables_number 166
_symmetry_space_group_name_Hall '-R 3 2"'
_cell_length_a 3.9973
_cell_length_b 3.9973
_cell_length_c 15.3145
_cell_angle_alpha 90.00
_cell_angle_beta 90.00
_cell_angle_gamma 120.00
loop_
_atom_site_label
_atom_site_type_symbol
_atom_site_fract_x
_atom_site_fract_y
_atom_site_fract_z
Rb1 Rb 0.0000 0.0000 0.0000
P1 P 0.0000 0.0000 0.5000
F1 F 0.0000 0.0000 0.1940

Most stable: P (next structure +0.358 eV/atom)

--- P ---
# Rb3PF (GGA-PBE, optimized geometry)
# - total moment (μB/atom) = 0.20
data_Rb3PF
_chemical_formula_sum 'Rb3 P1 F1'
_symmetry_space_group_name_H-M 'P m -3 m'
_symmetry_Int_Tables_number 221
_symmetry_space_group_name_Hall '-P 4 2 3'
_cell_length_a 5.491
_cell_length_b 5.491
_cell_length_c 5.491
_cell_angle_alpha 90.00
_cell_angle_beta 90.00
_cell_angle_gamma 90.00
loop_
_atom_site_label
_atom_site_type_symbol
_atom_site_fract_x
_atom_site_fract_y
_atom_site_fract_z
Rb1 Rb 0.000 0.000 0.500
P1 P 0.500 0.500 0.500
F1 F 0.000 0.000 0.000

--- Q ---
# Rb3PF (GGA-PBE, optimized geometry)
# - total moment (μB/atom) = 0.00
data_Rb3PF
_chemical_formula_sum 'Rb12 P4 F4'
_symmetry_space_group_name_H-M 'C 1 2/m 1'
_symmetry_Int_Tables_number 12
_symmetry_space_group_name_Hall '-C 2y'
_cell_length_a 14.590
_cell_length_b 4.472
_cell_length_c 11.242
_cell_angle_alpha 90.00
_cell_angle_beta 99.45
_cell_angle_gamma 90.00
loop_
_atom_site_label
_atom_site_type_symbol
_atom_site_fract_x
_atom_site_fract_y
_atom_site_fract_z
Rb1 Rb 0.117 0.000 0.235
Rb2 Rb 0.148 0.000 0.607
Rb3 Rb 0.150 0.500 0.907
P1 P 0.029 0.500 0.417
F1 F 0.244 0.500 0.151

Most stable: Q (next structure +0.083 eV/atom)

--- P ---
# RePF2 (GGA-PBE, optimized geometry)
# - total moment (μB/atom) = 0.00
data_RePF2
_chemical_formula_sum 'Re3 P3 F6'
_symmetry_space_group_name_H-M 'R -3 m'
_symmetry_Int_Tables_number 166
_symmetry_space_group_name_Hall '-R 3 2"'
_cell_length_a 2.6727
_cell_length_b 2.6727
_cell_length_c 30.0276
_cell_angle_alpha 90.00
_cell_angle_beta 90.00
_cell_angle_gamma 120.00
loop_
_atom_site_label
_atom_site_type_symbol
_atom_site_fract_x
_atom_site_fract_y
_atom_site_fract_z
Re1 Re 0.0000 0.0000 0.0000
P1 P 0.0000 0.0000 0.5000
F1 F 0.0000 0.0000 0.0633

--- Q ---
# RePF2 (GGA-PBE, optimized geometry)
# - total moment (μB/atom) = 0.00
data_RePF2
_chemical_formula_sum 'Re3 P3 F6'
_symmetry_space_group_name_H-M 'R -3 m'
_symmetry_Int_Tables_number 166
_symmetry_space_group_name_Hall '-R 3 2"'
_cell_length_a 2.6127
_cell_length_b 2.6127
_cell_length_c 30.3885
_cell_angle_alpha 90.00
_cell_angle_beta 90.00
_cell_angle_gamma 120.00
loop_
_atom_site_label
_atom_site_type_symbol
_atom_site_fract_x
_atom_site_fract_y
_atom_site_fract_z
Re1 Re 0.0000 0.0000 0.0000
P1 P 0.0000 0.0000 0.5000
F1 F 0.0000 0.0000 0.4458

--- R ---
# RePF2 (GGA-PBE, optimized geometry)
# - total moment (μB/atom) = 0.51
data_RePF2
_chemical_formula_sum 'Re4 P4 F8'
_symmetry_space_group_name_H-M 'F m -3 m'
_symmetry_Int_Tables_number 225
_symmetry_space_group_name_Hall '-F 4 2 3'
_cell_length_a 5.862
_cell_length_b 5.862
_cell_length_c 5.862
_cell_angle_alpha 90.00
_cell_angle_beta 90.00
_cell_angle_gamma 90.00
loop_
_atom_site_label
_atom_site_type_symbol
_atom_site_fract_x
_atom_site_fract_y
_atom_site_fract_z
Re1 Re 0.000 0.000 0.000
P1 P 0.000 0.000 0.500
F1 F 0.250 0.250 0.250

--- S ---
# RePF2 (GGA-PBE, optimized geometry)
# - total moment (μB/atom) = 0.33
data_RePF2
_chemical_formula_sum 'Re4 P4 F8'
_symmetry_space_group_name_H-M 'I -4 2 d'
_symmetry_Int_Tables_number 122
_symmetry_space_group_name_Hall 'I -4 2bw'
_cell_length_a 3.505
_cell_length_b 3.505
_cell_length_c 16.034
_cell_angle_alpha 90.00
_cell_angle_beta 90.00
_cell_angle_gamma 90.00
loop_
_atom_site_label
_atom_site_type_symbol
_atom_site_fract_x
_atom_site_fract_y
_atom_site_fract_z
Re1 Re 0.000 0.000 0.000
P1 P 0.000 0.000 0.500
F1 F 0.221 0.250 0.125

Most stable: P (next structure +0.218 eV/atom)

--- P ---
# ReP2F (GGA-PBE, optimized geometry)
# - total moment (μB/atom) = 0.00
data_ReP2F
_chemical_formula_sum 'Re4 P8 F4'
_symmetry_space_group_name_H-M 'I -4 2 d'
_symmetry_Int_Tables_number 122
_symmetry_space_group_name_Hall 'I -4 2bw'
_cell_length_a 5.472
_cell_length_b 5.472
_cell_length_c 10.396
_cell_angle_alpha 90.00
_cell_angle_beta 90.00
_cell_angle_gamma 90.00
loop_
_atom_site_label
_atom_site_type_symbol
_atom_site_fract_x
_atom_site_fract_y
_atom_site_fract_z
Re1 Re 0.000 0.000 0.000
P1 P 0.221 0.250 0.125
F1 F 0.000 0.000 0.500

--- Q ---
# ReP2F (GGA-PBE, optimized geometry)
# - total moment (μB/atom) = 0.39
data_ReP2F
_chemical_formula_sum 'Re4 P8 F4'
_symmetry_space_group_name_H-M 'F m -3 m'
_symmetry_Int_Tables_number 225
_symmetry_space_group_name_Hall '-F 4 2 3'
_cell_length_a 5.941
_cell_length_b 5.941
_cell_length_c 5.941
_cell_angle_alpha 90.00
_cell_angle_beta 90.00
_cell_angle_gamma 90.00
loop_
_atom_site_label
_atom_site_type_symbol
_atom_site_fract_x
_atom_site_fract_y
_atom_site_fract_z
Re1 Re 0.000 0.000 0.000
P1 P 0.250 0.250 0.250
F1 F 0.000 0.000 0.500

Most stable: P (next structure +0.088 eV/atom)

--- P ---
# PRhF2 (GGA-PBE, optimized geometry)
# - total moment (μB/atom) = 0.00
data_PRhF2
_chemical_formula_sum 'P4 Rh4 F8'
_symmetry_space_group_name_H-M 'I -4 2 d'
_symmetry_Int_Tables_number 122
_symmetry_space_group_name_Hall 'I -4 2bw'
_cell_length_a 3.488
_cell_length_b 3.488
_cell_length_c 15.673
_cell_angle_alpha 90.00
_cell_angle_beta 90.00
_cell_angle_gamma 90.00
loop_
_atom_site_label
_atom_site_type_symbol
_atom_site_fract_x
_atom_site_fract_y
_atom_site_fract_z
P1 P 0.000 0.000 0.000
Rh1 Rh 0.000 0.000 0.500
F1 F 0.244 0.250 0.125

--- Q ---
# PRhF2 (GGA-PBE, optimized geometry)
# - total moment (μB/atom) = 0.31
data_PRhF2
_chemical_formula_sum 'P3 Rh3 F6'
_symmetry_space_group_name_H-M 'R -3 m'
_symmetry_Int_Tables_number 166
_symmetry_space_group_name_Hall '-R 3 2"'
_cell_length_a 2.6403
_cell_length_b 2.6403
_cell_length_c 28.3615
_cell_angle_alpha 90.00
_cell_angle_beta 90.00
_cell_angle_gamma 120.00
loop_
_atom_site_label
_atom_site_type_symbol
_atom_site_fract_x
_atom_site_fract_y
_atom_site_fract_z
P1 P 0.0000 0.0000 0.0000
Rh1 Rh 0.0000 0.0000 0.5000
F1 F 0.0000 0.0000 0.0586

Most stable: Q (next structure +0.048 eV/atom)

--- P ---
# PRhF2 (GGA-PBE, optimized geometry)
# - total moment (μB/atom) = 0.00
data_PRhF2
_chemical_formula_sum 'P3 Rh3 F6'
_symmetry_space_group_name_H-M 'R -3 m'
_symmetry_Int_Tables_number 166
_symmetry_space_group_name_Hall '-R 3 2"'
_cell_length_a 2.6922
_cell_length_b 2.6922
_cell_length_c 23.5131
_cell_angle_alpha 90.00
_cell_angle_beta 90.00
_cell_angle_gamma 120.00
loop_
_atom_site_label
_atom_site_type_symbol
_atom_site_fract_x
_atom_site_fract_y
_atom_site_fract_z
P1 P 0.0000 0.0000 0.0000
Rh1 Rh 0.0000 0.0000 0.5000
F1 F 0.0000 0.0000 0.4140

--- Q ---
# PRhF2 (GGA-PBE, optimized geometry)
# - total moment (μB/atom) = 0.18
data_PRhF2
_chemical_formula_sum 'P4 Rh4 F8'
_symmetry_space_group_name_H-M 'F m -3 m'
_symmetry_Int_Tables_number 225
_symmetry_space_group_name_Hall '-F 4 2 3'
_cell_length_a 5.822
_cell_length_b 5.822
_cell_length_c 5.822
_cell_angle_alpha 90.00
_cell_angle_beta 90.00
_cell_angle_gamma 90.00
loop_
_atom_site_label
_atom_site_type_symbol
_atom_site_fract_x
_atom_site_fract_y
_atom_site_fract_z
P1 P 0.000 0.000 0.000
Rh1 Rh 0.000 0.000 0.500
F1 F 0.250 0.250 0.250

Most stable: P (next structure +0.541 eV/atom)